(1)
Below is an optimized crystal structure of NbSN, with properties calculated at the GGA-PBE level.

Output
- Distance to the lowest polymorph of the same formula: 0 meV/atom
- Raw formation energy: -0.78 eV/atom

Lattice parameters (Å, degrees): 3.287 3.287 12.395 82.48 82.48 60.00
Space group P-1 (No. 2)
Symmetry-distinct sites (fractional):
Nb1 0.234 0.230 0.299 (multiplicity 2)
S1 0.388 0.391 0.839 (multiplicity 2)
N1 0.121 0.124 0.638 (multiplicity 2)

---

(2)
Below is an optimized crystal structure of KLiCa2Au, with properties calculated at the GGA-PBE level.

Output
- Energy of formation: -0.218 eV per atom

Lattice parameters (Å, degrees): 5.809 5.809 5.464 90.00 90.00 90.00
Space group P4/mmm (No. 123)
Symmetry-distinct sites (fractional):
K1 0.000 0.000 0.000 (multiplicity 1)
Li1 0.500 0.500 0.000 (multiplicity 1)
Ca1 0.000 0.500 0.500 (multiplicity 2)
Au1 0.500 0.500 0.500 (multiplicity 1)

---

(3)
Below is an optimized crystal structure of NaSn2Ge2, with properties calculated at the GGA-PBE level.

Output
- Distance to the lowest polymorph of the same formula: 0 meV/atom
- Energy of formation: 0.019 eV per atom

Lattice parameters (Å, degrees): 5.206 5.206 9.794 90.00 90.00 90.00
Space group I4/mmm (No. 139)
Symmetry-distinct sites (fractional):
Na1 0.000 0.000 0.000 (multiplicity 2)
Sn1 0.000 0.500 0.250 (multiplicity 4)
Ge1 0.000 0.000 0.370 (multiplicity 4)

---

(4)
Below is an optimized crystal structure of Pr3Sn2Au4, with properties calculated at the GGA-PBE level.

Output
- Energy of formation: -0.786 eV per atom

Lattice parameters (Å, degrees): 11.351 4.727 9.236 90.00 114.36 90.00
Space group C2/m (No. 12)
Symmetry-distinct sites (fractional):
Pr1 0.000 0.000 0.000 (multiplicity 2)
Pr2 0.149 0.500 0.685 (multiplicity 4)
Sn1 0.134 0.500 0.298 (multiplicity 4)
Au1 0.086 0.000 0.422 (multiplicity 4)
Au2 0.213 0.500 0.050 (multiplicity 4)

---

(5)
Below is an optimized crystal structure of Mg2HgBr, with properties calculated at the GGA-PBE level.

Output
- Distance to the lowest polymorph of the same formula: 7 meV/atom
- Raw formation energy: -0.48 eV/atom

Lattice parameters (Å, degrees): 3.463 3.566 7.842 90.00 90.00 90.00
Space group Pmmm (No. 47)
Symmetry-distinct sites (fractional):
Mg1 0.000 0.000 0.215 (multiplicity 2)
Hg1 0.500 0.500 0.000 (multiplicity 1)
Br1 0.500 0.000 0.500 (multiplicity 1)

---

(6)
Below is an optimized crystal structure of YHo6Th3, with properties calculated at the GGA-PBE level.

Output
- Distance to the lowest polymorph of the same formula: 288 meV/atom
- Energy of formation: 0.361 eV per atom

Lattice parameters (Å, degrees): 9.8258 9.8258 11.9349 90.00 90.00 120.00
Space group R-3 (No. 148, hexagonal axes)
Symmetry-distinct sites (fractional):
Y1 0.0000 0.0000 0.0000 (multiplicity 3)
Ho1 0.0005 0.3313 0.2501 (multiplicity 18)
Th1 0.0000 0.0000 0.2494 (multiplicity 6)
Th2 0.0000 0.0000 0.5000 (multiplicity 3)

---

(7)
Below is an optimized crystal structure of Tb2ZnOs, with properties calculated at the GGA-PBE level.

Output
- Energy of formation: -0.270 eV per atom

Lattice parameters (Å, degrees): 3.458 3.458 7.296 90.00 90.00 90.00
Space group P4/mmm (No. 123)
Symmetry-distinct sites (fractional):
Tb1 0.000 0.000 0.229 (multiplicity 2)
Zn1 0.500 0.500 0.500 (multiplicity 1)
Os1 0.500 0.500 0.000 (multiplicity 1)

---

(8)
Below is an optimized crystal structure of Na3Ac3NpTe8, with properties calculated at the GGA-PBE level.

Output
- Raw formation energy: -1.21 eV/atom

Lattice parameters (Å, degrees): 9.4701 9.4701 22.6280 90.00 90.00 120.00
Space group R-3m (No. 166, hexagonal axes)
Symmetry-distinct sites (fractional):
Na1 0.0000 0.5000 0.0000 (multiplicity 9)
Ac1 0.0000 0.5000 0.5000 (multiplicity 9)
Np1 0.0000 0.0000 0.5000 (multiplicity 3)
Te1 0.0000 0.0000 0.2502 (multiplicity 6)
Te2 0.0223 0.5112 0.2447 (multiplicity 18)

---

(9)
Below is an optimized crystal structure of CsTaRh2, with properties calculated at the GGA-PBE level.

Output
- Distance to the lowest polymorph of the same formula: 377 meV/atom
- Energy of formation: 1.082 eV per atom

Lattice parameters (Å, degrees): 6.829 6.829 6.829 90.00 90.00 90.00
Space group Fm-3m (No. 225)
Symmetry-distinct sites (fractional):
Cs1 0.000 0.000 0.000 (multiplicity 4)
Ta1 0.000 0.000 0.500 (multiplicity 4)
Rh1 0.250 0.250 0.250 (multiplicity 8)

---

(10)
Below is an optimized crystal structure of MgAl2PW, with properties calculated at the GGA-PBE level.

Output
- Distance to the lowest polymorph of the same formula: 897 meV/atom
- Energy of formation: 1.293 eV per atom

Lattice parameters (Å, degrees): 4.869 4.869 5.165 90.00 90.00 90.00
Space group P4/mmm (No. 123)
Symmetry-distinct sites (fractional):
Mg1 0.000 0.000 0.000 (multiplicity 1)
Al1 0.000 0.500 0.500 (multiplicity 2)
P1 0.500 0.500 0.000 (multiplicity 1)
W1 0.000 0.000 0.500 (multiplicity 1)

---

(11)
Below is an optimized crystal structure of AsOsRh, with properties calculated at the GGA-PBE level.

Output
- Distance to the lowest polymorph of the same formula: 54 meV/atom
- Energy of formation: 0.190 eV per atom

Lattice parameters (Å, degrees): 2.9010 2.9010 6.0950 90.00 90.00 120.00
Space group P3m1 (No. 156)
Symmetry-distinct sites (fractional):
As1 0.0000 0.0000 0.0000 (multiplicity 1)
Os1 0.6667 0.3333 0.3128 (multiplicity 1)
Rh1 0.3333 0.6667 0.6735 (multiplicity 1)

---

(12)
Below is an optimized crystal structure of Mg2ZrBe, with properties calculated at the GGA-PBE level.

Output
- Energy of formation: 0.195 eV per atom

Lattice parameters (Å, degrees): 6.612 6.612 6.612 90.00 90.00 90.00
Space group F-43m (No. 216)
Symmetry-distinct sites (fractional):
Mg1 0.000 0.000 0.000 (multiplicity 4)
Mg2 0.250 0.250 0.250 (multiplicity 4)
Zr1 0.250 0.250 0.750 (multiplicity 4)
Be1 0.000 0.000 0.500 (multiplicity 4)

---

(13)
Below is an optimized crystal structure of KZrTl2O, with properties calculated at the GGA-PBE level.

Output
- Raw formation energy: 1.72 eV/atom

Lattice parameters (Å, degrees): 6.121 6.121 5.915 90.00 90.00 90.00
Space group P4/mmm (No. 123)
Symmetry-distinct sites (fractional):
K1 0.000 0.000 0.000 (multiplicity 1)
Zr1 0.000 0.000 0.500 (multiplicity 1)
Tl1 0.000 0.500 0.000 (multiplicity 2)
O1 0.500 0.500 0.500 (multiplicity 1)

---

(14)
Below is an optimized crystal structure of Zr2TlCuN, with properties calculated at the GGA-PBE level.

Output
- Raw formation energy: -0.47 eV/atom

Lattice parameters (Å, degrees): 4.525 4.525 4.142 90.00 90.00 90.00
Space group P4/mmm (No. 123)
Symmetry-distinct sites (fractional):
Zr1 0.000 0.500 0.000 (multiplicity 2)
Tl1 0.000 0.000 0.500 (multiplicity 1)
Cu1 0.500 0.500 0.500 (multiplicity 1)
N1 0.500 0.500 0.000 (multiplicity 1)

---

(15)
Below is an optimized crystal structure of LaTePb3, with properties calculated at the GGA-PBE level.

Output
- Distance to the lowest polymorph of the same formula: 371 meV/atom
- Raw formation energy: 0.66 eV/atom

Lattice parameters (Å, degrees): 6.135 6.135 6.135 90.00 90.00 90.00
Space group Pm-3m (No. 221)
Symmetry-distinct sites (fractional):
La1 0.000 0.000 0.000 (multiplicity 1)
Te1 0.500 0.500 0.500 (multiplicity 1)
Pb1 0.000 0.000 0.500 (multiplicity 3)

---

(16)
Below is an optimized crystal structure of Pr2ZnSnGe, with properties calculated at the GGA-PBE level.

Output
- Energy of formation: -0.634 eV per atom

Lattice parameters (Å, degrees): 7.689 4.537 7.829 90.00 90.08 90.00
Space group P2_1/m (No. 11)
Symmetry-distinct sites (fractional):
Pr1 0.001 0.250 0.222 (multiplicity 2)
Pr2 0.498 0.250 0.220 (multiplicity 2)
Zn1 0.252 0.750 0.406 (multiplicity 2)
Sn1 0.251 0.250 0.592 (multiplicity 2)
Ge1 0.250 0.750 0.088 (multiplicity 2)

---

(17)
Below is an optimized crystal structure of Tb3Dy5Er2, with properties calculated at the GGA-PBE level.

Output
- Distance to the lowest polymorph of the same formula: 153 meV/atom
- Energy of formation: 0.355 eV per atom

Lattice parameters (Å, degrees): 12.763 16.743 6.248 90.00 90.00 90.00
Space group Ibam (No. 72)
Symmetry-distinct sites (fractional):
Tb1 0.000 0.000 0.250 (multiplicity 4)
Tb2 0.159 0.250 0.000 (multiplicity 8)
Dy1 0.000 0.500 0.250 (multiplicity 4)
Dy2 0.100 0.343 0.500 (multiplicity 8)
Dy3 0.250 0.000 0.250 (multiplicity 8)
Er1 0.099 0.157 0.500 (multiplicity 8)

---

(18)
Below is an optimized crystal structure of DyTmLuPu, with properties calculated at the GGA-PBE level.

Output
- Energy of formation: 0.171 eV per atom

Lattice parameters (Å, degrees): 7.805 7.805 7.805 90.00 90.00 90.00
Space group F-43m (No. 216)
Symmetry-distinct sites (fractional):
Dy1 0.000 0.000 0.000 (multiplicity 4)
Tm1 0.250 0.250 0.750 (multiplicity 4)
Lu1 0.250 0.250 0.250 (multiplicity 4)
Pu1 0.000 0.000 0.500 (multiplicity 4)

---

(19)
Below is an optimized crystal structure of NaPmIn4, with properties calculated at the GGA-PBE level.

Output
- Distance to the lowest polymorph of the same formula: 0 meV/atom
- Energy of formation: -0.267 eV per atom

Lattice parameters (Å, degrees): 3.603 5.016 8.874 90.00 90.13 90.00
Space group P2/m (No. 10)
Symmetry-distinct sites (fractional):
Na1 0.000 0.000 0.000 (multiplicity 1)
Pm1 0.000 0.500 0.500 (multiplicity 1)
In1 0.489 0.000 0.335 (multiplicity 2)
In2 0.491 0.500 0.835 (multiplicity 2)

---

(20)
Below is an optimized crystal structure of Sm2HoBi, with properties calculated at the GGA-PBE level.

Output
- Distance to the lowest polymorph of the same formula: 0 meV/atom
- Energy of formation: -0.395 eV per atom

Lattice parameters (Å, degrees): 4.661 23.125 4.646 90.00 90.00 90.00
Space group Cmcm (No. 63)
Symmetry-distinct sites (fractional):
Sm1 0.000 0.061 0.250 (multiplicity 4)
Sm2 0.000 0.436 0.250 (multiplicity 4)
Ho1 0.000 0.309 0.750 (multiplicity 4)
Bi1 0.000 0.173 0.750 (multiplicity 4)

---

Let's list uncorrected energy in order: -8.2851 -2.2765 -3.6933 -4.7257 -1.7719 -5.2578 -5.7113 -4.8355 -5.7699 -4.1953 -7.5537 -3.6713 -2.1474 -6.8442 -3.1798 -4.5243 -4.2474 -6.8108 -3.1042 -4.8693 eV per atom.